(1)
DFT (GGA-PBE) results for an optimized crystal structure of Pm2Nd9Er.

Cell and atoms, written as extended XYZ:
```
12
Lattice="5.176 0.000 0.000 0.000 5.176 0.000 0.000 0.000 15.524" Properties=species:S:1:pos:R:3 pbc="T T T"
Pm 0.000 0.000 2.605
Pm 0.000 0.000 12.918
Nd 0.000 2.588 0.000
Nd 0.000 2.588 5.202
Nd 0.000 2.588 10.321
Nd 2.588 0.000 0.000
Nd 2.588 0.000 5.202
Nd 2.588 0.000 10.321
Nd 2.588 2.588 2.605
Nd 2.588 2.588 7.762
Nd 2.588 2.588 12.919
Er 0.000 0.000 7.762
```

- Final energy: -4.733 eV/atom
- Symmetry: P4/mmm, No. 123
- Calculated formation energy: 0.015 eV per atom
- Fermi-level density of states: 1.664 states/eV/atom


(2)
DFT (GGA-PBE) results for an optimized crystal structure of Pm7Nd2Er.

Cell and atoms, written as extended XYZ:
```
10
Lattice="3.360 -14.693 0.000 3.360 14.693 0.000 0.000 0.000 3.493" Properties=species:S:1:pos:R:3 pbc="T T T"
Pm 0.000 0.000 0.000
Pm 1.722 2.878 0.000
Pm 3.360 5.527 1.746
Pm 1.722 -2.878 0.000
Pm 4.999 2.878 0.000
Pm 3.360 -5.527 1.746
Pm 4.999 -2.878 0.000
Nd 3.360 8.680 0.000
Nd 3.360 -8.680 0.000
Er 3.360 0.000 1.746
```

- Final energy: -4.586 eV/atom
- Symmetry: Cmmm, No. 65
- Calculated formation energy: 0.150 eV per atom
- Fermi-level density of states: 1.534 states/eV/atom


(3)
DFT (GGA-PBE) results for an optimized crystal structure of Pm7NdEr2.

Cell and atoms, written as extended XYZ:
```
10
Lattice="6.035 -8.486 0.000 6.035 8.486 0.000 0.000 0.000 3.505" Properties=species:S:1:pos:R:3 pbc="T T T"
Pm 0.000 0.000 0.000
Pm 2.944 2.239 0.000
Pm 6.035 5.489 1.753
Pm 2.944 -2.239 0.000
Pm 9.126 2.239 0.000
Pm 6.035 -5.489 1.753
Pm 9.126 -2.239 0.000
Nd 6.035 0.000 1.753
Er 6.035 2.861 0.000
Er 6.035 -2.861 0.000
```

- Final energy: -4.330 eV/atom
- Symmetry: Cmmm, No. 65
- Calculated formation energy: 0.385 eV per atom
- Fermi-level density of states: 1.585 states/eV/atom


(4)
DFT (GGA-PBE) results for an optimized crystal structure of Pm8Nd3Er2.

Cell and atoms, written as extended XYZ:
```
13
Lattice="10.196 -3.877 0.000 10.196 3.877 0.000 -0.003 0.000 5.795" Properties=species:S:1:pos:R:3 pbc="T T T"
Pm 7.983 2.262 5.793
Pm 3.554 0.000 2.903
Pm 12.405 2.262 0.002
Pm 7.434 0.000 2.900
Pm 12.954 0.000 2.895
Pm 7.983 -2.262 5.793
Pm 16.834 0.000 2.891
Pm 12.405 -2.262 0.002
Nd 10.194 2.242 2.897
Nd 10.196 0.000 0.000
Nd 10.194 -2.242 2.897
Er 5.276 0.000 0.007
Er 15.112 0.000 5.788
```

- Final energy: -4.508 eV/atom
- Symmetry: C2/m, No. 12
- Calculated formation energy: 0.218 eV per atom
- Fermi-level density of states: 1.517 states/eV/atom


(5)
DFT (GGA-PBE) results for an optimized crystal structure of Pm4Nd5Er2.

Cell and atoms, written as extended XYZ:
```
11
Lattice="8.952 -1.791 0.000 8.952 1.791 0.000 -0.808 0.000 11.751" Properties=species:S:1:pos:R:3 pbc="T T T"
Pm 0.474 0.000 3.085
Pm 6.259 0.000 2.399
Pm 10.837 0.000 9.352
Pm 16.622 0.000 8.667
Nd 1.302 0.000 6.319
Nd 3.128 0.000 0.866
Nd 8.952 0.000 0.000
Nd 13.968 0.000 10.886
Nd 15.794 0.000 5.432
Er 4.568 0.000 7.550
Er 12.528 0.000 4.202
```

- Final energy: -4.648 eV/atom
- Symmetry: C2/m, No. 12
- Calculated formation energy: 0.076 eV per atom
- Fermi-level density of states: 1.477 states/eV/atom


(6)
DFT (GGA-PBE) results for an optimized crystal structure of Pm3Nd4Er2.

Cell and atoms, written as extended XYZ:
```
9
Lattice="3.628 0.000 0.000 -1.814 3.142 0.000 0.000 0.000 27.101" Properties=species:S:1:pos:R:3 pbc="T T T"
Pm 0.000 0.000 0.000
Pm 0.000 0.000 9.151
Pm 1.814 1.047 18.270
Nd 0.000 0.000 15.249
Nd 0.000 0.000 21.314
Nd 1.814 1.047 6.221
Nd 1.814 1.047 12.226
Er 1.814 1.047 2.814
Er 1.814 1.047 24.180
```

- Final energy: -4.647 eV/atom
- Symmetry: P3m1, No. 156
- Calculated formation energy: 0.069 eV per atom
- Fermi-level density of states: 1.861 states/eV/atom


(7)
DFT (GGA-PBE) results for an optimized crystal structure of Pm8Nd6Er.

Cell and atoms, written as extended XYZ:
```
15
Lattice="4.963 2.866 6.071 -4.963 2.866 6.071 0.000 -5.731 6.071" Properties=species:S:1:pos:R:3 pbc="T T T"
Pm 0.000 0.000 1.529
Pm -2.127 0.492 6.017
Pm 0.637 -2.088 6.017
Pm -1.490 -1.596 12.195
Pm 1.490 1.596 6.017
Pm -0.637 2.088 12.195
Pm 2.127 -0.492 12.195
Pm 0.000 0.000 16.683
Nd -3.342 -0.794 8.939
Nd -0.983 -3.292 9.273
Nd -2.359 2.497 9.273
Nd 2.359 -2.497 8.939
Nd 0.983 3.291 8.939
Nd 3.342 0.794 9.273
Er 0.000 0.000 9.106
```

- Final energy: -4.587 eV/atom
- Symmetry: R-3, No. 148
- Calculated formation energy: 0.158 eV per atom
- Fermi-level density of states: 1.444 states/eV/atom


(8)
DFT (GGA-PBE) results for an optimized crystal structure of Pm2Nd3Er4.

Cell and atoms, written as extended XYZ:
```
9
Lattice="6.222 0.000 0.000 1.039 6.146 0.000 2.062 0.692 7.730" Properties=species:S:1:pos:R:3 pbc="T T T"
Pm 2.076 2.276 2.576
Pm 7.247 4.561 5.154
Nd 2.076 1.218 6.006
Nd 3.111 0.000 0.000
Nd 7.248 5.620 1.724
Er 4.135 4.014 6.866
Er 4.152 5.069 3.449
Er 5.171 1.769 4.281
Er 5.188 2.824 0.865
```

- Final energy: -4.655 eV/atom
- Symmetry: P-1, No. 2
- Calculated formation energy: 0.018 eV per atom
- Fermi-level density of states: 1.359 states/eV/atom


(9)
DFT (GGA-PBE) results for an optimized crystal structure of Pm8Nd6Er.

Cell and atoms, written as extended XYZ:
```
15
Lattice="9.543 0.000 0.000 -4.771 8.264 0.000 0.000 0.000 6.692" Properties=species:S:1:pos:R:3 pbc="T T T"
Pm -1.054 2.314 2.244
Pm -2.240 8.021 2.244
Pm 1.477 2.070 4.448
Pm 0.000 5.510 2.595
Pm 4.772 2.755 4.097
Pm 3.295 6.194 2.244
Pm 7.012 0.244 4.448
Pm 5.826 5.951 4.448
Nd -1.254 3.573 5.616
Nd -1.051 7.564 5.616
Nd 2.467 2.872 1.076
Nd 2.304 5.392 5.616
Nd 5.822 0.701 1.076
Nd 6.025 4.692 1.076
Er 0.000 0.000 0.000
```

- Final energy: -4.585 eV/atom
- Symmetry: P-3, No. 147
- Calculated formation energy: 0.160 eV per atom
- Fermi-level density of states: 1.446 states/eV/atom


(10)
DFT (GGA-PBE) results for an optimized crystal structure of PmNd14Er.

Cell and atoms, written as extended XYZ:
```
16
Lattice="7.335 0.000 0.000 0.000 7.335 0.000 0.000 0.000 10.374" Properties=species:S:1:pos:R:3 pbc="T T T"
Pm 0.000 0.000 0.000
Nd 0.000 0.000 5.187
Nd 0.000 3.667 0.000
Nd 0.000 3.667 5.187
Nd 1.842 1.842 2.575
Nd 1.842 1.842 7.799
Nd 1.842 5.493 2.575
Nd 1.842 5.493 7.799
Nd 3.667 0.000 0.000
Nd 3.667 0.000 5.187
Nd 3.667 3.667 5.187
Nd 5.493 1.842 2.575
Nd 5.493 1.842 7.799
Nd 5.493 5.493 2.575
Nd 5.493 5.493 7.799
Er 3.667 3.667 0.000
```

- Final energy: -4.741 eV/atom
- Symmetry: P4/mmm, No. 123
- Calculated formation energy: 0.013 eV per atom
- Fermi-level density of states: 1.565 states/eV/atom


(11)
DFT (GGA-PBE) results for an optimized crystal structure of Pm3Nd7Er2.

Cell and atoms, written as extended XYZ:
```
12
Lattice="3.324 1.919 11.340 -3.324 1.919 11.340 0.000 -3.838 11.340" Properties=species:S:1:pos:R:3 pbc="T T T"
Pm 0.000 0.000 0.000
Pm 0.000 0.000 5.194
Pm 0.000 0.000 28.824
Nd -1.689 -0.975 14.185
Nd 0.000 -1.950 19.833
Nd -1.689 0.975 19.833
Nd 0.000 0.000 17.009
Nd 1.689 -0.975 14.186
Nd 0.000 1.950 14.186
Nd 1.689 0.975 19.833
Er 0.000 0.000 11.364
Er 0.000 0.000 22.655
```

- Final energy: -4.448 eV/atom
- Symmetry: R-3m, No. 166
- Calculated formation energy: 0.282 eV per atom
- Fermi-level density of states: 1.703 states/eV/atom


(12)
DFT (GGA-PBE) results for an optimized crystal structure of Pm4NdEr4.

Cell and atoms, written as extended XYZ:
```
9
Lattice="-5.392 5.392 2.527 5.392 -5.392 2.527 5.392 5.392 -2.527" Properties=species:S:1:pos:R:3 pbc="T T T"
Pm 3.573 0.000 0.000
Pm 7.211 0.000 0.000
Pm 0.000 3.573 0.000
Pm 0.000 7.211 0.000
Nd 0.000 0.000 0.000
Er 3.593 3.593 0.000
Er 1.799 -1.799 2.527
Er -1.799 1.799 2.527
Er 1.799 1.799 2.527
```

- Final energy: -4.651 eV/atom
- Symmetry: I4/mmm, No. 139
- Calculated formation energy: 0.018 eV per atom
- Fermi-level density of states: 1.406 states/eV/atom


(13)
DFT (GGA-PBE) results for an optimized crystal structure of PmNd6Er2.

Cell and atoms, written as extended XYZ:
```
18
Lattice="8.288 0.000 0.000 0.000 8.288 0.000 0.000 0.000 10.523" Properties=species:S:1:pos:R:3 pbc="T T T"
Pm 0.000 0.000 0.000
Pm 4.144 4.144 5.262
Nd 1.980 1.980 1.750
Nd 1.977 1.977 5.262
Nd 1.980 1.980 8.773
Nd 2.167 6.121 0.000
Nd 2.164 6.124 3.512
Nd 2.164 6.124 7.012
Nd 6.121 2.167 0.000
Nd 6.124 2.164 3.512
Nd 6.124 2.164 7.012
Nd 6.307 6.307 1.750
Nd 6.311 6.311 5.262
Nd 6.307 6.307 8.773
Er 0.000 0.000 3.532
Er 0.000 0.000 6.991
Er 4.144 4.144 1.729
Er 4.144 4.144 8.794
```

- Final energy: -4.113 eV/atom
- Symmetry: P4_2/mnm, No. 136
- Calculated formation energy: 0.608 eV per atom
- Fermi-level density of states: 1.629 states/eV/atom


(14)
DFT (GGA-PBE) results for an optimized crystal structure of Pm3NdEr7.

Cell and atoms, written as extended XYZ:
```
11
Lattice="6.960 0.000 0.000 0.000 5.513 0.000 -3.451 0.000 9.377" Properties=species:S:1:pos:R:3 pbc="T T T"
Pm 0.000 0.000 0.000
Pm -0.219 2.757 4.693
Pm 3.728 2.757 4.684
Nd 3.480 0.000 0.000
Er -1.730 0.000 6.281
Er -1.721 2.757 8.067
Er 1.743 2.757 1.984
Er 1.755 0.000 4.689
Er 1.766 2.757 7.393
Er 5.230 2.757 1.311
Er 5.239 0.000 3.097
```

- Final energy: -4.481 eV/atom
- Symmetry: P2/m, No. 10
- Calculated formation energy: 0.151 eV per atom
- Fermi-level density of states: 1.572 states/eV/atom


(15)
DFT (GGA-PBE) results for an optimized crystal structure of Pm2NdEr2.

Cell and atoms, written as extended XYZ:
```
5
Lattice="3.121 -1.802 0.000 3.121 1.802 0.000 -0.018 0.000 14.651" Properties=species:S:1:pos:R:3 pbc="T T T"
Pm 1.046 0.000 5.806
Pm 5.178 0.000 8.846
Nd 3.121 0.000 0.000
Er 1.018 0.000 11.732
Er 5.206 0.000 2.920
```

- Final energy: -4.655 eV/atom
- Symmetry: C2/m, No. 12
- Calculated formation energy: 0.024 eV per atom
- Fermi-level density of states: 1.410 states/eV/atom


(16)
DFT (GGA-PBE) results for an optimized crystal structure of Pm6NdEr3.

Cell and atoms, written as extended XYZ:
```
20
Lattice="4.892 -10.674 0.000 4.892 10.674 0.000 0.000 0.000 6.457" Properties=species:S:1:pos:R:3 pbc="T T T"
Pm 4.892 10.354 3.228
Pm 3.188 4.667 0.194
Pm 3.142 1.254 1.802
Pm 4.892 4.251 3.241
Pm 3.142 -1.254 5.030
Pm 6.596 4.667 0.194
Pm 3.188 -4.667 3.422
Pm 6.642 1.254 1.802
Pm 4.892 -4.251 0.012
Pm 6.642 -1.254 5.030
Pm 6.596 -4.667 3.422
Pm 4.892 -10.354 0.000
Nd 4.892 7.303 4.579
Nd 4.892 -7.303 1.351
Er 1.651 2.700 4.442
Er 1.651 -2.700 1.213
Er 4.892 1.738 5.164
Er 4.892 -1.738 1.935
Er 8.133 2.700 4.442
Er 8.133 -2.700 1.213
```

- Final energy: -4.569 eV/atom
- Symmetry: Cmc2_1, No. 36
- Calculated formation energy: 0.127 eV per atom
- Fermi-level density of states: 1.489 states/eV/atom


(17)
DFT (GGA-PBE) results for an optimized crystal structure of Pm12Nd5Er.

Cell and atoms, written as extended XYZ:
```
18
Lattice="6.015 -8.732 0.000 6.015 8.732 0.000 -0.006 0.000 5.891" Properties=species:S:1:pos:R:3 pbc="T T T"
Pm 4.178 5.594 2.986
Pm 4.165 3.124 5.852
Pm 2.438 0.000 0.247
Pm 3.624 0.000 3.185
Pm 7.846 5.594 2.905
Pm 7.859 3.124 0.039
Pm 4.165 -3.124 5.852
Pm 4.178 -5.594 2.986
Pm 8.400 0.000 2.706
Pm 9.586 0.000 5.644
Pm 7.859 -3.124 0.039
Pm 7.846 -5.594 2.905
Nd -0.003 0.000 2.946
Nd 6.015 6.329 0.000
Nd 6.012 2.356 2.946
Nd 6.012 -2.356 2.946
Nd 6.015 -6.329 0.000
Er 6.015 0.000 0.000
```

- Final energy: -4.665 eV/atom
- Symmetry: C2/m, No. 12
- Calculated formation energy: 0.080 eV per atom
- Fermi-level density of states: 1.539 states/eV/atom


(18)
DFT (GGA-PBE) results for an optimized crystal structure of Pm2Nd4Er3.

Cell and atoms, written as extended XYZ:
```
9
Lattice="3.626 0.000 0.000 -1.813 3.141 0.000 0.000 0.000 26.913" Properties=species:S:1:pos:R:3 pbc="T T T"
Pm 0.000 0.000 0.000
Pm 0.000 0.000 5.678
Nd 0.000 0.000 9.272
Nd 0.000 0.000 14.990
Nd 0.000 2.094 18.079
Nd 0.000 2.094 23.855
Er 0.000 0.000 20.964
Er 0.000 2.094 2.879
Er 0.000 2.094 12.090
```

- Final energy: -4.642 eV/atom
- Symmetry: P3m1, No. 156
- Calculated formation energy: 0.053 eV per atom
- Fermi-level density of states: 1.821 states/eV/atom


(19)
DFT (GGA-PBE) results for an optimized crystal structure of Pm5Nd2Er12.

Cell and atoms, written as extended XYZ:
```
19
Lattice="7.797 -4.641 0.000 7.797 4.641 0.000 -0.319 0.000 8.610" Properties=species:S:1:pos:R:3 pbc="T T T"
Pm 0.000 0.000 0.000
Pm 3.569 0.000 0.624
Pm 4.433 0.000 4.161
Pm 10.842 0.000 4.449
Pm 11.705 0.000 7.986
Nd 7.637 1.641 4.305
Nd 7.637 -1.641 4.305
Er 5.383 2.986 2.220
Er 1.099 0.000 3.240
Er 5.516 1.756 7.217
Er 9.891 2.986 6.390
Er 9.759 1.756 1.393
Er 6.858 0.000 1.424
Er 8.417 0.000 7.186
Er 5.516 -1.756 7.217
Er 5.383 -2.986 2.220
Er 9.759 -1.756 1.393
Er 14.176 0.000 5.370
Er 9.891 -2.986 6.390
```

- Final energy: -4.507 eV/atom
- Symmetry: C2/m, No. 12
- Calculated formation energy: 0.127 eV per atom
- Fermi-level density of states: 1.320 states/eV/atom